Record 1
The following is a DFT calculation (PBE) of a geometry-optimized CeSmMgRh structure.

a b c (Å): 7.273 7.273 7.273
angles (deg): 90.00 90.00 90.00
Space group F-43m (No. 216)
One atom of each set of equivalent atoms:
Ce (0.000, 0.000, 0.000) x4
Sm (0.000, 0.000, 0.500) x4
Mg (0.250, 0.250, 0.750) x4
Rh (0.250, 0.250, 0.250) x4

Properties
Final energy   -82.4 eV/cell
Energy of formation   -250 meV/atom
Magnetization   2.6 μB/cell

Record 2
The following is a DFT calculation (PBE) of a geometry-optimized Ce2MgSn3Rh4 structure.

a b c (Å): 4.310 4.310 11.415
angles (deg): 90.00 90.00 90.00
Space group P-4m2 (No. 115)
One atom of each set of equivalent atoms:
Ce (0.000, 0.500, 0.247) x2
Mg (0.500, 0.500, 0.000) x1
Sn (0.000, 0.000, 0.000) x1
Sn (0.000, 0.500, 0.630) x2
Rh (0.000, 0.000, 0.500) x1
Rh (0.000, 0.500, 0.858) x2
Rh (0.500, 0.500, 0.500) x1

Properties
Final energy   -61.4 eV/cell
Energy of formation   -649 meV/atom
Magnetization   1.6 μB/cell

Record 3
The following is a DFT calculation (PBE) of a geometry-optimized CeMg2SnRh4 structure.

a b c (Å): 4.6007 4.6007 22.4038
angles (deg): 90.00 90.00 120.00
Space group R-3m (No. 166, hexagonal axes)
One atom of each set of equivalent atoms:
Ce (0.0000, 0.0000, 0.0000) x3
Mg (0.0000, 0.0000, 0.2465) x6
Sn (0.0000, 0.0000, 0.5000) x3
Rh (0.0000, 0.0000, 0.1255) x6
Rh (0.0000, 0.0000, 0.3802) x6

Properties
Final energy   -143.2 eV/cell
Energy of formation   -652 meV/atom
Magnetization   0.3 μB/cell

Record 4
The following is a DFT calculation (PBE) of a geometry-optimized CeMgTcRh structure.

a b c (Å): 6.598 6.598 6.598
angles (deg): 90.00 90.00 90.00
Space group F-43m (No. 216)
One atom of each set of equivalent atoms:
Ce (0.000, 0.000, 0.000) x4
Mg (0.000, 0.000, 0.500) x4
Tc (0.250, 0.250, 0.250) x4
Rh (0.250, 0.250, 0.750) x4

Properties
Final energy   -104.9 eV/cell
Energy of formation   -245 meV/atom
Magnetization   0.0 μB/cell

Look up the final energy of the second one. -61.4 eV/cell

Which formula does entry 2 have? Ce2MgSn3Rh4

Repeat the fourth record exactly.
The following is a DFT calculation (PBE) of a geometry-optimized CeMgTcRh structure.

a b c (Å): 6.598 6.598 6.598
angles (deg): 90.00 90.00 90.00
Space group F-43m (No. 216)
One atom of each set of equivalent atoms:
Ce (0.000, 0.000, 0.000) x4
Mg (0.000, 0.000, 0.500) x4
Tc (0.250, 0.250, 0.250) x4
Rh (0.250, 0.250, 0.750) x4

Properties
Final energy   -104.9 eV/cell
Energy of formation   -245 meV/atom
Magnetization   0.0 μB/cell